The following is a PBE calculation of a geometry-optimized AgBOF2 structure, from the Alexandria database.

```
data_AgBOF2
_space_group_name_H-M_alt 'P 4/m m m'
_space_group_IT_number 123
_space_group_name_Hall '-P 4 2'
_cell_length_a 4.3683
_cell_length_b 4.3683
_cell_length_c 2.6807
_cell_angle_alpha 90.00
_cell_angle_beta 90.00
_cell_angle_gamma 90.00
loop_
_atom_site_label
_atom_site_fract_x
_atom_site_fract_y
_atom_site_fract_z
_atom_site_occupancy
Ag1 0.0000 0.0000 0.0000 1
B1 0.5000 0.5000 0.5000 1
O1 0.5000 0.5000 0.0000 1
F1 0.0000 0.5000 0.5000 1
```

## Properties
E_form (uncorrected) = -1.33 eV per atom
DOS(E_F) = 0.000 states/eV per atom